# LiMoW3

A relaxed structure of LiMoW3 (PBE, the Alexandria database).

Properties
**Size of the total moment**: 0.000 μB per cell
**Energy relative to the elements**: 10.104 eV/f.u.
**Crystal system**: cubic
**N(E_F)**: 6.4 states/eV/cell

Lattice parameters (Å, degrees): 4.7712 4.7712 4.7712 90.00 90.00 90.00
Last column: nearest neighbours and their distance in Å.
Space group Pm-3m (No. 221)
Unique sites:
Li 0.0000 0.0000 0.0000 x1  12 W 3.37
Mo 0.5000 0.5000 0.5000 x1  6 W 2.39
W 0.0000 0.5000 0.5000 x3  2 Mo 2.39

=====

# Pr2PuPb9

A relaxed structure of Pr2PuPb9 (PBE, the Alexandria database).

Properties
**Size of the total moment**: 5.855 μB per cell
**Energy relative to the elements**: -3.775 eV/f.u.
**Crystal system**: tetragonal
**N(E_F)**: 15.2 states/eV/cell

Lattice parameters (Å, degrees): 4.9180 4.9180 14.7534 90.00 90.00 90.00
Last column: nearest neighbours and their distance in Å.
Space group P4/mmm (No. 123)
Unique sites:
Pr 0.0000 0.0000 0.1695 x2  12 Pb 3.48-3.51
Pu 0.0000 0.0000 0.5000 x1  12 Pb 3.43-3.48
Pb 0.0000 0.5000 0.0000 x2  8 Pb 3.48-3.50, 4 Pr 3.51
Pb 0.0000 0.5000 0.3379 x4  8 Pb 3.43-3.51, 2 Pu 3.43, 2 Pr 3.50
Pb 0.5000 0.5000 0.1685 x2  4 Pr 3.48, 8 Pb 3.50-3.51
Pb 0.5000 0.5000 0.5000 x1  8 Pb 3.43, 4 Pu 3.48

=====

# La2PmHg

A relaxed structure of La2PmHg (PBE, the Alexandria database).

Properties
**Size of the total moment**: 2.155 μB per cell
**Energy relative to the elements**: -0.379 eV/f.u.
**Crystal system**: cubic
**N(E_F)**: 23.7 states/eV/cell

Lattice parameters (Å, degrees): 7.9737 7.9737 7.9737 90.00 90.00 90.00
Last column: nearest neighbours and their distance in Å.
Space group Fm-3m (No. 225)
Unique sites:
La 0.2500 0.2500 0.2500 x8  4 Hg 3.45, 4 Pm 3.45
Pm 0.0000 0.0000 0.0000 x4  8 La 3.45
Hg 0.0000 0.0000 0.5000 x4  8 La 3.45

=====

# BaTa2Pt

A relaxed structure of BaTa2Pt (PBE, the Alexandria database).

Properties
**Size of the total moment**: 0.000 μB per cell
**Energy relative to the elements**: 2.483 eV/f.u.
**Crystal system**: trigonal
**N(E_F)**: 11.5 states/eV/cell

Lattice parameters (Å, degrees): 3.0610 3.0610 32.3675 90.00 90.00 120.00
Last column: nearest neighbours and their distance in Å.
Space group R-3m (No. 166, hexagonal axes)
Unique sites:
Ba 0.0000 0.0000 0.0000 x3  6 Ba 3.06
Ta 0.0000 0.0000 0.2343 x6  3 Pt 2.81, 6 Ta 3.06
Pt 0.0000 0.0000 0.5000 x3  6 Ta 2.81, 6 Pt 3.06

=====

What did the first record say?
# LiMoW3

A relaxed structure of LiMoW3 (PBE, the Alexandria database).

Properties
**Size of the total moment**: 0.000 μB per cell
**Energy relative to the elements**: 10.104 eV/f.u.
**Crystal system**: cubic
**N(E_F)**: 6.4 states/eV/cell

Lattice parameters (Å, degrees): 4.7712 4.7712 4.7712 90.00 90.00 90.00
Last column: nearest neighbours and their distance in Å.
Space group Pm-3m (No. 221)
Unique sites:
Li 0.0000 0.0000 0.0000 x1  12 W 3.37
Mo 0.5000 0.5000 0.5000 x1  6 W 2.39
W 0.0000 0.5000 0.5000 x3  2 Mo 2.39